# 1
Sr5CeBi4 | PBE-GGA | optimized geometry

- magnetic moment (μB/f.u.) = 1.995
- DFT formation energy (meV/atom) = -724
- electronic total energy (eV per atom) = -3.710

abc: 21.496 5.014 8.928
angles: 90.00 114.45 90.00
Space group C2/m (No. 12)
Asymmetric unit:
Sr  0.000  0.000  0.000
Sr  0.167  0.500  0.912
Sr  0.168  0.500  0.424
Ce  0.000  0.000  0.500
Bi  0.000  0.500  0.257
Bi  0.194  0.000  0.695

=====

# 2
NdErZn3 | PBE-GGA | optimized geometry

- magnetic moment (μB/f.u.) = 0.000
- DFT formation energy (meV/atom) = -229
- electronic total energy (eV per atom) = -2.860

abc: 14.424 4.855 6.392
angles: 90.00 99.53 90.00
Space group C2/m (No. 12)
Asymmetric unit:
Nd  0.112  0.000  0.454
Er  0.181  0.500  0.108
Zn  0.017  0.500  0.721
Zn  0.078  0.000  0.914
Zn  0.201  0.500  0.663